(1)
VASP calculation (PBE) on an optimized crystal structure of BeCoOsBr2.

The structure in extended XYZ format:
```
5
Lattice="4.439 0.000 0.000 0.000 4.439 0.000 0.000 0.000 4.158" Properties=species:S:1:pos:R:3 pbc="T T T"
Be 0.000 0.000 0.000
Co 0.000 0.000 2.079
Os 2.219 2.219 2.079
Br 0.000 2.219 0.000
Br 2.219 0.000 0.000
```

Results
space-group type: P4/mmm
calculated volume: 16.38 A^3/atom
energy relative to the elements, uncorrected: 1.60 eV/atom
D(E_F): 7.37 states/eV/f.u.

(2)
VASP calculation (PBE) on an optimized crystal structure of Be2CoPbBr.

The structure in extended XYZ format:
```
5
Lattice="4.633 0.000 0.000 0.000 4.633 0.000 0.000 0.000 5.292" Properties=species:S:1:pos:R:3 pbc="T T T"
Be 0.000 2.316 0.000
Be 2.316 0.000 0.000
Co 0.000 0.000 2.646
Pb 0.000 0.000 0.000
Br 2.316 2.316 2.646
```

Results
space-group type: P4/mmm
calculated volume: 22.71 A^3/atom
energy relative to the elements, uncorrected: 1.10 eV/atom
D(E_F): 2.16 states/eV/f.u.

(3)
VASP calculation (PBE) on an optimized crystal structure of BeCo2RuBr.

The structure in extended XYZ format:
```
5
Lattice="4.259 0.000 0.000 0.000 4.259 0.000 0.000 0.000 4.162" Properties=species:S:1:pos:R:3 pbc="T T T"
Be 0.000 0.000 0.000
Co 0.000 2.129 2.081
Co 2.129 0.000 2.081
Ru 2.129 2.129 0.000
Br 0.000 0.000 2.081
```

Results
space-group type: P4/mmm
calculated volume: 15.10 A^3/atom
energy relative to the elements, uncorrected: 1.48 eV/atom
D(E_F): 4.42 states/eV/f.u.

(4)
VASP calculation (PBE) on an optimized crystal structure of BeCo2SBr.

The structure in extended XYZ format:
```
5
Lattice="4.413 0.000 0.000 0.000 4.413 0.000 0.000 0.000 4.063" Properties=species:S:1:pos:R:3 pbc="T T T"
Be 0.000 0.000 0.000
Co 0.000 2.206 0.000
Co 2.206 0.000 0.000
S 2.206 2.206 2.031
Br 0.000 0.000 2.031
```

Results
space-group type: P4/mmm
calculated volume: 15.82 A^3/atom
energy relative to the elements, uncorrected: 1.07 eV/atom
D(E_F): 5.52 states/eV/f.u.

(5)
VASP calculation (PBE) on an optimized crystal structure of ScBe2CoBr.

The structure in extended XYZ format:
```
5
Lattice="4.203 0.000 0.000 0.000 4.203 0.000 0.000 0.000 4.743" Properties=species:S:1:pos:R:3 pbc="T T T"
Sc 0.000 0.000 0.000
Be 0.000 2.101 2.371
Be 2.101 0.000 2.371
Co 0.000 0.000 2.371
Br 2.101 2.101 0.000
```

Results
space-group type: P4/mmm
calculated volume: 16.76 A^3/atom
energy relative to the elements, uncorrected: 0.17 eV/atom
D(E_F): 2.64 states/eV/f.u.

(6)
VASP calculation (PBE) on an optimized crystal structure of BeCoSe2Br.

The structure in extended XYZ format:
```
5
Lattice="4.266 0.000 0.000 0.000 4.266 0.000 0.000 0.000 6.489" Properties=species:S:1:pos:R:3 pbc="T T T"
Be 0.000 0.000 0.000
Co 2.133 2.133 3.245
Se 0.000 2.133 0.000
Se 2.133 0.000 0.000
Br 0.000 0.000 3.245
```

Results
space-group type: P4/mmm
calculated volume: 23.61 A^3/atom
polymorph energy (0 for the lowest one): 0 meV/atom
energy relative to the elements, uncorrected: 0.57 eV/atom
D(E_F): 10.03 states/eV/f.u.

(7)
VASP calculation (PBE) on an optimized crystal structure of BeCoSe2Br.

The structure in extended XYZ format:
```
5
Lattice="4.625 0.000 0.000 0.000 4.625 0.000 0.000 0.000 5.019" Properties=species:S:1:pos:R:3 pbc="T T T"
Be 0.000 0.000 0.000
Co 2.313 2.313 2.509
Se 0.000 2.313 2.509
Se 2.313 0.000 2.509
Br 2.313 2.313 0.000
```

Results
space-group type: P4/mmm
calculated volume: 21.47 A^3/atom
polymorph energy (0 for the lowest one): 99 meV/atom
energy relative to the elements, uncorrected: 0.67 eV/atom
D(E_F): 4.40 states/eV/f.u.

(8)
VASP calculation (PBE) on an optimized crystal structure of Be2CrBr.

The structure in extended XYZ format:
```
4
Lattice="0.000 3.036 3.036 3.036 0.000 3.036 3.036 3.036 0.000" Properties=species:S:1:pos:R:3 pbc="T T T"
Be 0.000 0.000 0.000
Be 1.518 1.518 1.518
Cr 4.554 4.554 4.554
Br 3.036 3.036 3.036
```

Results
space-group type: F-43m
calculated volume: 13.99 A^3/atom
polymorph energy (0 for the lowest one): 692 meV/atom
energy relative to the elements, uncorrected: 0.97 eV/atom
D(E_F): 1.78 states/eV/f.u.

(9)
VASP calculation (PBE) on an optimized crystal structure of Be3CrBr.

The structure in extended XYZ format:
```
5
Lattice="4.598 0.000 0.000 0.000 4.598 0.000 0.000 0.000 4.598" Properties=species:S:1:pos:R:3 pbc="T T T"
Be 0.000 0.000 2.299
Be 0.000 2.299 0.000
Be 2.299 0.000 0.000
Cr 0.000 0.000 0.000
Br 2.299 2.299 2.299
```

Results
space-group type: Pm-3m
calculated volume: 19.44 A^3/atom
polymorph energy (0 for the lowest one): 0 meV/atom
energy relative to the elements, uncorrected: 1.44 eV/atom
D(E_F): 3.70 states/eV/f.u.

(10)
VASP calculation (PBE) on an optimized crystal structure of BeCr4Br.

The structure in extended XYZ format:
```
6
Lattice="0.000 3.403 3.403 3.403 0.000 3.403 3.403 3.403 0.000" Properties=species:S:1:pos:R:3 pbc="T T T"
Be 0.000 0.000 0.000
Cr 2.548 2.548 2.548
Cr 4.258 4.258 2.548
Cr 4.258 2.548 4.258
Cr 2.548 4.258 4.258
Br 5.105 5.105 5.105
```

Results
space-group type: F-43m
calculated volume: 13.14 A^3/atom
energy relative to the elements, uncorrected: 0.89 eV/atom
D(E_F): 5.27 states/eV/f.u.

(11)
VASP calculation (PBE) on an optimized crystal structure of Be2CrBr.

The structure in extended XYZ format:
```
8
Lattice="-3.415 3.415 2.585 3.415 -3.415 2.585 3.415 3.415 -2.585" Properties=species:S:1:pos:R:3 pbc="T T T"
Be 1.707 1.595 -0.646
Be 1.819 -1.707 3.231
Be 1.707 1.819 1.939
Be 1.595 5.122 0.646
Cr 3.415 0.000 1.292
Cr 0.000 0.000 2.585
Br 0.000 0.000 0.000
Br 0.000 3.415 1.292
```

Results
space-group type: I-42d
calculated volume: 15.07 A^3/atom
polymorph energy (0 for the lowest one): 568 meV/atom
energy relative to the elements, uncorrected: 0.84 eV/atom
D(E_F): 1.69 states/eV/f.u.

(12)
VASP calculation (PBE) on an optimized crystal structure of Be2Cr2Br.

The structure in extended XYZ format:
```
5
Lattice="-1.598 1.598 7.201 1.598 -1.598 7.201 1.598 1.598 -7.201" Properties=species:S:1:pos:R:3 pbc="T T T"
Be 0.000 0.000 1.747
Be 0.000 0.000 12.654
Cr 1.598 0.000 3.600
Cr 0.000 1.598 3.600
Br 0.000 0.000 7.201
```

Results
space-group type: I4/mmm
calculated volume: 14.71 A^3/atom
polymorph energy (0 for the lowest one): 34 meV/atom
energy relative to the elements, uncorrected: 0.76 eV/atom
D(E_F): 4.47 states/eV/f.u.

(13)
VASP calculation (PBE) on an optimized crystal structure of Be2CrBr.

The structure in extended XYZ format:
```
4
Lattice="3.137 0.000 0.000 0.000 3.879 0.000 0.000 0.000 4.384" Properties=species:S:1:pos:R:3 pbc="T T T"
Be 0.000 0.000 0.000
Be 1.569 0.000 2.192
Cr 0.000 1.940 2.192
Br 1.569 1.940 0.000
```

Results
space-group type: Pmmm
calculated volume: 13.34 A^3/atom
polymorph energy (0 for the lowest one): 606 meV/atom
energy relative to the elements, uncorrected: 0.88 eV/atom
D(E_F): 2.11 states/eV/f.u.

(14)
VASP calculation (PBE) on an optimized crystal structure of BeCrBr3.

The structure in extended XYZ format:
```
5
Lattice="5.134 0.000 0.000 0.000 5.134 0.000 0.000 0.000 5.134" Properties=species:S:1:pos:R:3 pbc="T T T"
Be 0.000 0.000 0.000
Cr 2.567 2.567 2.567
Br 0.000 2.567 2.567
Br 2.567 0.000 2.567
Br 2.567 2.567 0.000
```

Results
space-group type: Pm-3m
calculated volume: 27.06 A^3/atom
polymorph energy (0 for the lowest one): 236 meV/atom
energy relative to the elements, uncorrected: 0.21 eV/atom
D(E_F): 2.45 states/eV/f.u.

(15)
VASP calculation (PBE) on an optimized crystal structure of Be2CrBr.

The structure in extended XYZ format:
```
4
Lattice="3.175 0.000 0.000 0.000 3.158 0.000 -0.015 0.000 5.863" Properties=species:S:1:pos:R:3 pbc="T T T"
Be -0.001 0.000 1.054
Be 3.161 0.000 4.808
Cr 1.588 1.579 0.000
Br -0.008 1.579 2.931
```

Results
space-group type: P2/m
calculated volume: 14.69 A^3/atom
polymorph energy (0 for the lowest one): 190 meV/atom
energy relative to the elements, uncorrected: 0.47 eV/atom
D(E_F): 1.49 states/eV/f.u.

(16)
VASP calculation (PBE) on an optimized crystal structure of Be2CrBr.

The structure in extended XYZ format:
```
4
Lattice="-1.566 2.098 4.041 1.566 -2.098 4.041 1.566 2.098 -4.041" Properties=species:S:1:pos:R:3 pbc="T T T"
Be 0.000 0.000 0.000
Be 0.000 2.098 2.282
Cr 0.000 0.000 4.303
Br 1.566 0.000 2.043
```

Results
space-group type: Imm2
calculated volume: 13.28 A^3/atom
polymorph energy (0 for the lowest one): 495 meV/atom
energy relative to the elements, uncorrected: 0.77 eV/atom
D(E_F): 1.70 states/eV/f.u.

(17)
VASP calculation (PBE) on an optimized crystal structure of BeCrBr.

The structure in extended XYZ format:
```
3
Lattice="0.000 3.078 3.078 3.078 0.000 3.078 3.078 3.078 0.000" Properties=species:S:1:pos:R:3 pbc="T T T"
Be 0.000 0.000 0.000
Cr 1.539 1.539 1.539
Br 3.078 3.078 3.078
```

Results
space-group type: F-43m
calculated volume: 19.45 A^3/atom
polymorph energy (0 for the lowest one): 380 meV/atom
energy relative to the elements, uncorrected: 0.87 eV/atom
D(E_F): 1.83 states/eV/f.u.

(18)
VASP calculation (PBE) on an optimized crystal structure of Be2Cr2Br.

The structure in extended XYZ format:
```
10
Lattice="6.092 0.000 0.000 0.000 6.092 0.000 0.000 0.000 3.069" Properties=species:S:1:pos:R:3 pbc="T T T"
Be 0.701 2.345 0.000
Be 2.345 5.391 0.000
Be 3.747 0.701 0.000
Be 5.391 3.747 0.000
Cr 1.053 4.099 1.535
Cr 1.993 1.053 1.535
Cr 4.099 5.039 1.535
Cr 5.039 1.993 1.535
Br 0.000 0.000 0.000
Br 3.046 3.046 0.000
```

Results
space-group type: P4/mbm
calculated volume: 11.39 A^3/atom
polymorph energy (0 for the lowest one): 0 meV/atom
energy relative to the elements, uncorrected: 0.73 eV/atom
D(E_F): 3.00 states/eV/f.u.

(19)
VASP calculation (PBE) on an optimized crystal structure of Be2CrBr.

The structure in extended XYZ format:
```
4
Lattice="0.000 3.047 3.047 3.047 0.000 3.047 3.047 3.047 0.000" Properties=species:S:1:pos:R:3 pbc="T T T"
Be 1.523 1.523 1.523
Be 4.570 4.570 4.570
Cr 0.000 0.000 0.000
Br 3.047 3.047 3.047
```

Results
space-group type: Fm-3m
calculated volume: 14.14 A^3/atom
polymorph energy (0 for the lowest one): 926 meV/atom
energy relative to the elements, uncorrected: 1.20 eV/atom
D(E_F): 2.20 states/eV/f.u.

(20)
VASP calculation (PBE) on an optimized crystal structure of Be2CrBr.

The structure in extended XYZ format:
```
4
Lattice="3.751 -1.987 0.000 3.751 1.987 0.000 -0.011 0.000 4.586" Properties=species:S:1:pos:R:3 pbc="T T T"
Be 1.339 0.000 2.290
Be 6.152 0.000 2.297
Cr 3.745 0.000 2.293
Br 0.000 0.000 0.000
```

Results
space-group type: C2/m
calculated volume: 17.09 A^3/atom
polymorph energy (0 for the lowest one): 266 meV/atom
energy relative to the elements, uncorrected: 0.54 eV/atom
D(E_F): 1.55 states/eV/f.u.

(21)
VASP calculation (PBE) on an optimized crystal structure of BeCr3Br.

The structure in extended XYZ format:
```
5
Lattice="4.300 0.000 0.000 0.000 4.300 0.000 0.000 0.000 4.300" Properties=species:S:1:pos:R:3 pbc="T T T"
Be 0.000 0.000 0.000
Cr 0.000 2.150 2.150
Cr 2.150 0.000 2.150
Cr 2.150 2.150 0.000
Br 2.150 2.150 2.150
```

Results
space-group type: Pm-3m
calculated volume: 15.90 A^3/atom
polymorph energy (0 for the lowest one): 629 meV/atom
energy relative to the elements, uncorrected: 1.64 eV/atom
D(E_F): 6.17 states/eV/f.u.

(22)
VASP calculation (PBE) on an optimized crystal structure of Be2CrBr.

The structure in extended XYZ format:
```
4
Lattice="1.551 0.895 7.097 -1.551 0.895 7.097 0.000 -1.791 7.097" Properties=species:S:1:pos:R:3 pbc="T T T"
Be 0.000 0.000 5.304
Be 0.000 0.000 15.988
Cr 0.000 0.000 10.646
Br 0.000 0.000 0.000
```

Results
space-group type: R-3m
calculated volume: 14.78 A^3/atom
polymorph energy (0 for the lowest one): 450 meV/atom
energy relative to the elements, uncorrected: 0.73 eV/atom
D(E_F): 2.44 states/eV/f.u.

(23)
VASP calculation (PBE) on an optimized crystal structure of BeCrBr3.

The structure in extended XYZ format:
```
5
Lattice="4.867 0.000 0.000 0.000 4.867 0.000 0.000 0.000 4.867" Properties=species:S:1:pos:R:3 pbc="T T T"
Be 0.000 0.000 0.000
Cr 2.433 2.433 2.433
Br 0.000 0.000 2.433
Br 0.000 2.433 0.000
Br 2.433 0.000 0.000
```

Results
space-group type: Pm-3m
calculated volume: 23.05 A^3/atom
polymorph energy (0 for the lowest one): 0 meV/atom
energy relative to the elements, uncorrected: -0.03 eV/atom
D(E_F): 5.98 states/eV/f.u.

(24)
VASP calculation (PBE) on an optimized crystal structure of BeCr3Br.

The structure in extended XYZ format:
```
5
Lattice="4.467 0.000 0.000 0.000 4.467 0.000 0.000 0.000 4.467" Properties=species:S:1:pos:R:3 pbc="T T T"
Be 0.000 0.000 0.000
Cr 0.000 0.000 2.234
Cr 0.000 2.234 0.000
Cr 2.234 0.000 0.000
Br 2.234 2.234 2.234
```

Results
space-group type: Pm-3m
calculated volume: 17.83 A^3/atom
polymorph energy (0 for the lowest one): 0 meV/atom
energy relative to the elements, uncorrected: 1.01 eV/atom
D(E_F): 5.32 states/eV/f.u.

(25)
VASP calculation (PBE) on an optimized crystal structure of BeCrBr.

The structure in extended XYZ format:
```
3
Lattice="0.000 3.069 3.069 3.069 0.000 3.069 3.069 3.069 0.000" Properties=species:S:1:pos:R:3 pbc="T T T"
Be 0.000 0.000 0.000
Cr 1.535 1.535 1.535
Br 4.604 4.604 4.604
```

Results
space-group type: F-43m
calculated volume: 19.27 A^3/atom
polymorph energy (0 for the lowest one): 570 meV/atom
energy relative to the elements, uncorrected: 1.06 eV/atom
D(E_F): 1.46 states/eV/f.u.

(26)
VASP calculation (PBE) on an optimized crystal structure of Be2CrBr.

The structure in extended XYZ format:
```
4
Lattice="3.135 0.000 0.000 0.000 3.311 0.000 -1.560 0.000 6.249" Properties=species:S:1:pos:R:3 pbc="T T T"
Be 0.000 0.000 0.000
Be -0.006 1.656 1.415
Cr 0.007 1.656 5.654
Br -0.008 0.000 2.925
```

Results
space-group type: Pm
calculated volume: 16.22 A^3/atom
polymorph energy (0 for the lowest one): 209 meV/atom
energy relative to the elements, uncorrected: 0.49 eV/atom
D(E_F): 1.13 states/eV/f.u.

(27)
VASP calculation (PBE) on an optimized crystal structure of Be2CrBr.

The structure in extended XYZ format:
```
4
Lattice="3.079 0.000 0.000 0.000 3.079 0.000 0.000 0.000 6.399" Properties=species:S:1:pos:R:3 pbc="T T T"
Be 0.000 0.000 0.000
Be 1.540 1.540 1.150
Cr 1.540 1.540 5.309
Br 0.000 0.000 2.561
```

Results
space-group type: P4mm
calculated volume: 15.17 A^3/atom
polymorph energy (0 for the lowest one): 308 meV/atom
energy relative to the elements, uncorrected: 0.58 eV/atom
D(E_F): 1.71 states/eV/f.u.

(28)
VASP calculation (PBE) on an optimized crystal structure of Be3CrBr.

The structure in extended XYZ format:
```
5
Lattice="4.211 0.000 0.000 0.000 4.211 0.000 0.000 0.000 4.211" Properties=species:S:1:pos:R:3 pbc="T T T"
Be 0.000 0.000 2.106
Be 0.000 2.106 0.000
Be 2.106 0.000 0.000
Cr 2.106 2.106 2.106
Br 0.000 0.000 0.000
```

Results
space-group type: Pm-3m
calculated volume: 14.94 A^3/atom
polymorph energy (0 for the lowest one): 427 meV/atom
energy relative to the elements, uncorrected: 1.87 eV/atom
D(E_F): 8.45 states/eV/f.u.

(29)
VASP calculation (PBE) on an optimized crystal structure of BeCrBr.

The structure in extended XYZ format:
```
3
Lattice="5.634 -1.589 0.000 5.634 1.589 0.000 -0.928 0.000 3.111" Properties=species:S:1:pos:R:3 pbc="T T T"
Be 0.000 0.000 0.000
Cr 6.429 0.000 1.931
Br 3.134 0.000 2.645
```

Results
space-group type: Cm
calculated volume: 18.57 A^3/atom
polymorph energy (0 for the lowest one): 0 meV/atom
energy relative to the elements, uncorrected: 0.49 eV/atom
D(E_F): 1.30 states/eV/f.u.